Tb6Dy8Sc | GGA-PBE | relaxed

Properties
The value obtained for the energy above the most stable polymorph in this dataset is 0.0000 eV per atom. Its calculated formation energy is 173 kJ/mol of formula units.

```
Tb6Dy8Sc
1.0
-4.512 -1.563 -7.627
-5.838 -6.831 -0.454
-8.440 1.326 -0.587
Tb Dy Sc
6 8 1
Direct
0.892 0.774 0.877
0.543 0.108 0.123
0.457 0.892 0.877
0.774 0.457 0.877
0.226 0.543 0.123
0.108 0.226 0.123
0.110 0.747 0.421
0.423 0.423 0.731
0.890 0.253 0.579
0.577 0.577 0.269
0.747 0.722 0.421
0.253 0.278 0.579
0.722 0.110 0.421
0.278 0.890 0.579
0.000 0.000 0.000
```


TbDy9Sc2 | GGA-PBE | relaxed

Properties
The value obtained for the energy above the most stable polymorph in this dataset is 0.0000 eV per atom. Its calculated formation energy is 41 kJ/mol of formula units.

```
TbDy9Sc2
1.0
4.951 0.000 0.000
0.000 4.951 0.000
0.000 0.000 14.813
Dy Sc Tb
9 2 1
Direct
0.500 0.500 0.664
0.000 0.500 0.829
0.000 0.500 0.171
0.500 0.000 0.829
0.500 0.000 0.171
0.500 0.500 0.000
0.000 0.500 0.500
0.500 0.000 0.500
0.500 0.500 0.336
0.000 0.000 0.665
0.000 0.000 0.335
0.000 0.000 0.000
```


Tb3Dy4Sc | GGA-PBE | relaxed

Properties
The value obtained for the energy above the most stable polymorph in this dataset is 0.0000 eV per atom. Its calculated formation energy is 14 kJ/mol of formula units.

```
Tb3Dy4Sc
1.0
6.212 0.000 0.000
0.000 7.192 0.000
0.000 0.000 11.152
Dy Tb Sc
8 6 2
Direct
0.645 0.126 0.000
0.484 0.873 0.254
0.145 0.874 0.500
0.152 0.874 0.000
0.652 0.126 0.500
0.984 0.127 0.246
0.984 0.127 0.754
0.484 0.873 0.746
0.147 0.376 0.500
0.647 0.624 0.000
0.978 0.623 0.750
0.478 0.377 0.750
0.478 0.377 0.250
0.978 0.623 0.250
0.147 0.376 0.000
0.647 0.624 0.500
```